Entry 1:
Compound: ZrTcPt2
Source: Alexandria via LeMat-Bulk
Functional: PBE-GGA
Structure: relaxed

Computed properties:
* electronic total energy: -0.5912 Ry/atom
* energy of formation from the pure elements: -0.295 eV per atom
* distance to the lowest polymorph of the same formula: 372 meV/atom
* space-group type: Fm-3m, No. 225

Cell: 6.517 6.517 6.517 Å, 90.00 90.00 90.00°
Fractional positions:
1 Zr 0.000 0.000 0.000
2 Zr 0.000 0.500 0.500
3 Zr 0.500 0.000 0.500
4 Zr 0.500 0.500 0.000
5 Tc 0.000 0.000 0.500
6 Tc 0.000 0.500 0.000
7 Tc 0.500 0.000 0.000
8 Tc 0.500 0.500 0.500
9 Pt 0.250 0.250 0.250
10 Pt 0.250 0.250 0.750
11 Pt 0.250 0.750 0.250
12 Pt 0.250 0.750 0.750
13 Pt 0.750 0.250 0.250
14 Pt 0.750 0.250 0.750
15 Pt 0.750 0.750 0.250
16 Pt 0.750 0.750 0.750


Entry 2:
Compound: ZrTcPt2
Source: Alexandria via LeMat-Bulk
Functional: PBE-GGA
Structure: relaxed

Computed properties:
* electronic total energy: -0.5931 Ry/atom
* energy of formation from the pure elements: -0.321 eV per atom
* distance to the lowest polymorph of the same formula: 345 meV/atom
* space-group type: F-43m, No. 216

Cell: 6.469 6.469 6.469 Å, 90.00 90.00 90.00°
Fractional positions:
1 Zr 0.000 0.000 0.000
2 Zr 0.000 0.500 0.500
3 Zr 0.500 0.000 0.500
4 Zr 0.500 0.500 0.000
5 Tc 0.250 0.250 0.750
6 Tc 0.250 0.750 0.250
7 Tc 0.750 0.250 0.250
8 Tc 0.750 0.750 0.750
9 Pt 0.000 0.000 0.500
10 Pt 0.000 0.500 0.000
11 Pt 0.250 0.250 0.250
12 Pt 0.250 0.750 0.750
13 Pt 0.500 0.000 0.000
14 Pt 0.500 0.500 0.500
15 Pt 0.750 0.250 0.750
16 Pt 0.750 0.750 0.250


Please write out number 1 again, unchanged.
Compound: ZrTcPt2
Source: Alexandria via LeMat-Bulk
Functional: PBE-GGA
Structure: relaxed

Computed properties:
* electronic total energy: -0.5912 Ry/atom
* energy of formation from the pure elements: -0.295 eV per atom
* distance to the lowest polymorph of the same formula: 372 meV/atom
* space-group type: Fm-3m, No. 225

Cell: 6.517 6.517 6.517 Å, 90.00 90.00 90.00°
Fractional positions:
1 Zr 0.000 0.000 0.000
2 Zr 0.000 0.500 0.500
3 Zr 0.500 0.000 0.500
4 Zr 0.500 0.500 0.000
5 Tc 0.000 0.000 0.500
6 Tc 0.000 0.500 0.000
7 Tc 0.500 0.000 0.000
8 Tc 0.500 0.500 0.500
9 Pt 0.250 0.250 0.250
10 Pt 0.250 0.250 0.750
11 Pt 0.250 0.750 0.250
12 Pt 0.250 0.750 0.750
13 Pt 0.750 0.250 0.250
14 Pt 0.750 0.250 0.750
15 Pt 0.750 0.750 0.250
16 Pt 0.750 0.750 0.750


Question: The highest energy of formation from the pure elements belongs to which entry?
Answer: number 1


Question: The highest electronic total energy belongs to which entry?
Answer: number 1